Entry 1:
Below is a relaxed structure of SmTh2Bi, with properties calculated at the PBE level.

abc: 4.790 4.790 5.339
angles: 90.00 90.00 90.00
Positions (direct):
Sm (0.000, 0.000, 0.000)
Th (0.000, 0.500, 0.500)
Th (0.500, 0.000, 0.500)
Bi (0.500, 0.500, 0.000)

Values from the calculation:
Its crystal system is tetragonal. The calculation puts the energy above the most stable polymorph in this dataset at 0.00 eV per formula unit. The calculation puts the formation energy at -0.306 eV/atom. For the total moment, the calculation gives 0.00 μB/atom.

=====

Entry 2:
Below is a relaxed structure of SrCo3Ge3, with properties calculated at the PBE level.

abc: 8.375 8.375 8.375
angles: 44.74 44.74 44.74
Positions (direct):
Sr (0.175, 0.175, 0.175)
Sr (0.825, 0.825, 0.825)
Co (0.066, 0.533, 0.286)
Co (0.286, 0.066, 0.533)
Co (0.467, 0.714, 0.934)
Co (0.533, 0.286, 0.066)
Co (0.714, 0.934, 0.467)
Co (0.934, 0.467, 0.714)
Ge (0.154, 0.714, 0.323)
Ge (0.286, 0.677, 0.846)
Ge (0.323, 0.154, 0.714)
Ge (0.677, 0.846, 0.286)
Ge (0.714, 0.323, 0.154)
Ge (0.846, 0.286, 0.677)

Values from the calculation:
Its crystal system is trigonal. The calculation puts the energy above the most stable polymorph in this dataset at 0.00 eV per formula unit. The calculation puts the formation energy at -0.118 eV/atom. For the total moment, the calculation gives 0.28 μB/atom.

=====

Entry 3:
Below is a relaxed structure of ZnCr2Ni7, with properties calculated at the PBE level.

abc: 6.930 6.930 3.691
angles: 90.00 90.00 125.71
Positions (direct):
Zn (0.000, 0.000, 0.000)
Cr (0.302, 0.698, 0.500)
Cr (0.698, 0.302, 0.500)
Ni (0.084, 0.291, 0.500)
Ni (0.194, 0.806, 0.000)
Ni (0.291, 0.084, 0.500)
Ni (0.500, 0.500, 0.500)
Ni (0.709, 0.916, 0.500)
Ni (0.806, 0.194, 0.000)
Ni (0.916, 0.709, 0.500)

Values from the calculation:
Its crystal system is orthorhombic. The calculation puts the formation energy at 0.620 eV/atom. For the total moment, the calculation gives 0.41 μB/atom.

=====

Entry 4:
Below is a relaxed structure of CdAg2P, with properties calculated at the PBE level.

abc: 5.228 5.228 5.228
angles: 134.01 133.71 67.30
Positions (direct):
Cd (0.000, 0.000, 0.000)
Ag (0.251, 0.751, 0.500)
Ag (0.749, 0.249, 0.500)
P (0.500, 0.500, 0.000)

Values from the calculation:
Its crystal system is orthorhombic. The calculation puts the energy above the most stable polymorph in this dataset at 0.15 eV per formula unit. The calculation puts the formation energy at 0.191 eV/atom. For the total moment, the calculation gives 0.00 μB/atom.

=====

Entry 5:
Below is a relaxed structure of HfGe3As, with properties calculated at the PBE level.

abc: 4.883 4.883 4.883
angles: 90.00 90.00 90.00
Positions (direct):
Hf (0.000, 0.000, 0.000)
Ge (0.000, 0.500, 0.500)
Ge (0.500, 0.000, 0.500)
Ge (0.500, 0.500, 0.000)
As (0.500, 0.500, 0.500)

Values from the calculation:
Its crystal system is cubic. The calculation puts the energy above the most stable polymorph in this dataset at 0.54 eV per formula unit. The calculation puts the formation energy at 0.849 eV/atom. For the total moment, the calculation gives 0.00 μB/atom.

=====

Entry 6:
Below is a relaxed structure of TmSc6Tl, with properties calculated at the PBE level.

abc: 5.829 5.829 6.033
angles: 96.02 96.02 94.66
Positions (direct):
Tm (0.000, 0.000, 0.000)
Sc (0.150, 0.522, 0.285)
Sc (0.349, 0.349, 0.807)
Sc (0.478, 0.850, 0.715)
Sc (0.522, 0.150, 0.285)
Sc (0.651, 0.651, 0.193)
Sc (0.850, 0.478, 0.715)
Tl (0.000, 0.000, 0.500)

Values from the calculation:
Its crystal system is monoclinic. The calculation puts the energy above the most stable polymorph in this dataset at 0.73 eV per formula unit. The calculation puts the formation energy at 0.033 eV/atom. For the total moment, the calculation gives 0.00 μB/atom.

=====

Entry 7:
Below is a relaxed structure of Pr4Sb2Pd, with properties calculated at the PBE level.

abc: 8.421 8.421 7.540
angles: 115.28 115.28 30.31
Positions (direct):
Pr (0.117, 0.117, 0.442)
Pr (0.380, 0.380, 0.025)
Pr (0.620, 0.620, 0.975)
Pr (0.883, 0.883, 0.558)
Sb (0.261, 0.261, 0.263)
Sb (0.739, 0.739, 0.737)
Pd (0.000, 0.000, 0.000)

Values from the calculation:
Its crystal system is monoclinic. The value obtained for the uncorrected formation energy is -5.02 eV per formula unit. For the total moment, the calculation gives 0.00 μB/atom.

=====

Entry 8:
Below is a relaxed structure of CeCdAg2, with properties calculated at the PBE level.

abc: 5.099 7.011 5.081
angles: 90.00 90.00 90.00
Positions (direct):
Ce (0.250, 0.250, 0.204)
Ce (0.750, 0.750, 0.796)
Cd (0.250, 0.750, 0.226)
Cd (0.750, 0.250, 0.774)
Ag (0.250, 0.504, 0.702)
Ag (0.250, 0.996, 0.702)
Ag (0.750, 0.004, 0.298)
Ag (0.750, 0.496, 0.298)

Values from the calculation:
Its crystal system is orthorhombic. The calculation puts the energy above the most stable polymorph in this dataset at 0.00 eV per formula unit. The calculation puts the formation energy at -0.163 eV/atom. For the total moment, the calculation gives 0.21 μB/atom.

=====

Entry 9:
Below is a relaxed structure of Sr2In6Au3, with properties calculated at the PBE level.

abc: 8.594 8.594 4.611
angles: 90.00 90.00 120.00
Positions (direct):
Sr (0.333, 0.667, 0.000)
Sr (0.667, 0.333, 0.000)
In (0.000, 0.202, 0.000)
In (0.000, 0.698, 0.500)
In (0.202, 0.000, 0.000)
In (0.302, 0.302, 0.500)
In (0.698, 0.000, 0.500)
In (0.798, 0.798, 0.000)
Au (0.000, 0.380, 0.500)
Au (0.380, 0.000, 0.500)
Au (0.620, 0.620, 0.500)

Values from the calculation:
Its crystal system is hexagonal. The calculation puts the formation energy at -0.443 eV/atom. For the total moment, the calculation gives 0.00 μB/atom.

=====

Entry 10:
Below is a relaxed structure of ZnPt3O, with properties calculated at the PBE level.

abc: 4.657 4.657 4.657
angles: 90.00 90.00 90.00
Positions (direct):
Zn (0.000, 0.000, 0.000)
Pt (0.000, 0.000, 0.500)
Pt (0.000, 0.500, 0.000)
Pt (0.500, 0.000, 0.000)
O (0.500, 0.500, 0.500)

Values from the calculation:
Its crystal system is cubic. The calculation puts the energy above the most stable polymorph in this dataset at 5.38 eV per formula unit. The value obtained for the uncorrected formation energy is 7.39 eV per formula unit. For the total moment, the calculation gives 0.45 μB/atom.

=====

Entry 11:
Below is a relaxed structure of KNbCu2Ni, with properties calculated at the PBE level.

abc: 4.706 4.706 4.437
angles: 90.00 90.00 90.00
Positions (direct):
K (0.000, 0.000, 0.000)
Nb (0.500, 0.500, 0.500)
Cu (0.000, 0.500, 0.000)
Cu (0.500, 0.000, 0.000)
Ni (0.000, 0.000, 0.500)

Values from the calculation:
Its crystal system is tetragonal. The calculation puts the formation energy at 2.013 eV/atom. For the total moment, the calculation gives 0.58 μB/atom.

=====

Entry 12:
Below is a relaxed structure of YMoN3, with properties calculated at the PBE level.

abc: 4.348 3.245 8.561
angles: 90.00 92.30 90.00
Positions (direct):
Y (0.000, 0.000, 0.000)
Y (0.463, 0.500, 0.630)
Mo (0.503, 0.500, 0.253)
Mo (0.912, 0.000, 0.380)
N (0.130, 0.000, 0.728)
N (0.413, 0.000, 0.409)
N (0.441, 0.500, 0.010)
N (0.644, 0.500, 0.900)
N (0.909, 0.000, 0.617)
N (0.977, 0.500, 0.211)

Values from the calculation:
Its crystal system is monoclinic. The value obtained for the uncorrected formation energy is -3.07 eV per formula unit. For the total moment, the calculation gives 0.00 μB/atom.